1.
A plane-wave DFT calculation with PBE was carried out for a relaxed AlGaSbO6 crystal.

Density of states at the Fermi level: 7.1 states/eV/cell
Calculated total energy: -112.453 eV for the cell shown
Spin magnetization: 1.02 μB/f.u.
Calculated volume: 189 Å³ per cell

abc: 5.0490 5.0490 8.5404
angles: 90.00 90.00 120.00
Space group P-31c (No. 163)
Symmetry-distinct sites (fractional):
1 Al 0.3333 0.6667 0.2500
2 Ga 0.0000 0.0000 0.0000
3 Sb 0.3333 0.6667 0.7500
4 O 0.0144 0.3476 0.1289

---

2.
A plane-wave DFT calculation with PBE was carried out for a relaxed ScW2Se crystal.

Density of states at the Fermi level: 6.2 states/eV/cell
Calculated total energy: -69.623 eV for the cell shown
Spin magnetization: 0.00 μB/f.u.
Calculated volume: 142 Å³ per cell

abc: 3.366 4.942 8.557
angles: 90.00 90.00 90.00
Space group Imm2 (No. 44)
Symmetry-distinct sites (fractional):
1 Sc 0.000 0.000 0.000
2 W 0.000 0.000 0.493
3 W 0.000 0.500 0.221
4 Se 0.000 0.500 0.752

---

Question: density of states at the Fermi level of number 1 (AlGaSbO6)?
Answer: 7.1 states/eV/cell

---

Question: calculated volume of number 1 (AlGaSbO6)?
Answer: 189 Å³ per cell

---

Question: calculated total energy of number 1 (AlGaSbO6)?
Answer: -112.453 eV for the cell shown

---

Question: Which of these has the lowest spin magnetization?
Answer: ScW2Se